# MnCuCl2 (GGA-PBEsol, optimized geometry)
data_MnCuCl2
_chemical_formula_sum 'Mn1 Cu1 Cl2'
_cell_length_a 3.168
_cell_length_b 3.168
_cell_length_c 6.899
_cell_angle_alpha 90.00
_cell_angle_beta 90.00
_cell_angle_gamma 90.00
_space_group_name_H-M_alt 'P 1'
_space_group_IT_number 1
loop_
_space_group_symop_operation_xyz
'x,y,z'
loop_
_atom_site_label
_atom_site_type_symbol
_atom_site_fract_x
_atom_site_fract_y
_atom_site_fract_z
Mn1 Mn 0.500 0.500 0.717
Cu1 Cu 0.000 0.000 0.509
Cl1 Cl 0.000 0.000 0.923
Cl2 Cl 0.500 0.500 0.351
# Energy above the most stable polymorph in this dataset in eV/atom: 0.000
# Crystal system: tetragonal
# Raw formation energy in meV per atom: -189

***

# CrRuSe2 (GGA-PBEsol, optimized geometry)
data_CrRuSe2
_chemical_formula_sum 'Cr1 Ru1 Se2'
_cell_length_a 3.442
_cell_length_b 3.260
_cell_length_c 5.888
_cell_angle_alpha 90.00
_cell_angle_beta 90.00
_cell_angle_gamma 90.00
_space_group_name_H-M_alt 'P 1'
_space_group_IT_number 1
loop_
_space_group_symop_operation_xyz
'x,y,z'
loop_
_atom_site_label
_atom_site_type_symbol
_atom_site_fract_x
_atom_site_fract_y
_atom_site_fract_z
Cr1 Cr 0.000 0.000 0.486
Ru1 Ru 0.500 0.500 0.761
Se1 Se 0.000 0.000 0.912
Se2 Se 0.500 0.500 0.342
# Energy above the most stable polymorph in this dataset in eV/atom: 0.000
# Crystal system: orthorhombic
# Raw formation energy in meV per atom: -78

***

# Cu3TcP (GGA-PBEsol, optimized geometry)
data_Cu3TcP
_chemical_formula_sum 'Cu3 Tc1 P1'
_cell_length_a 4.501
_cell_length_b 4.501
_cell_length_c 4.501
_cell_angle_alpha 90.00
_cell_angle_beta 90.00
_cell_angle_gamma 90.00
_space_group_name_H-M_alt 'P 1'
_space_group_IT_number 1
loop_
_space_group_symop_operation_xyz
'x,y,z'
loop_
_atom_site_label
_atom_site_type_symbol
_atom_site_fract_x
_atom_site_fract_y
_atom_site_fract_z
P1 P 0.500 0.500 0.500
Tc1 Tc 0.000 0.000 0.000
Cu1 Cu 0.000 0.500 0.000
Cu2 Cu 0.000 0.000 0.500
Cu3 Cu 0.500 0.000 0.000
# Energy above the most stable polymorph in this dataset in eV/atom: 0.985
# Formation energy from the elements in eV/atom: 1.79
# Crystal system: cubic

***

Calculated E (eV per cell), listed in the same order as above: -18.867, -28.426, -21.101